VASP calculation (PBE-GGA) on LiAg3Rh3O8 after structural relaxation.

Cell: 10.765 6.151 7.231 Å, 90.00 119.90 90.00°
Space group C2/m (No. 12)
One atom of each set of equivalent atoms:
Li: 0.000 0.000 0.000
Ag: 0.000 0.500 0.500
Ag: 0.250 0.250 0.500
Rh: 0.000 0.500 0.000
Rh: 0.250 0.250 0.000
O: 0.110 0.500 0.835
O: 0.129 0.000 0.849
O: 0.142 0.264 0.165

Computed properties:
The calculation puts the uncorrected energy at -5.45 eV/atom.